No. 1
# KZnHg2Bi (PBE, relaxed)
data_KZnHg2Bi
_chemical_formula_sum 'K1 Zn1 Hg2 Bi1'
_symmetry_space_group_name_H-M 'P 4/m m m'
_symmetry_Int_Tables_number 123
_symmetry_space_group_name_Hall '-P 4 2'
_cell_length_a 6.057
_cell_length_b 6.057
_cell_length_c 6.894
_cell_angle_alpha 90.00
_cell_angle_beta 90.00
_cell_angle_gamma 90.00
loop_
_atom_site_label
_atom_site_fract_x
_atom_site_fract_y
_atom_site_fract_z
K1 0.000 0.000 0.000
Zn1 0.500 0.500 0.000
Hg1 0.000 0.500 0.500
Bi1 0.000 0.000 0.500
# - Calculated volume: 252.86 Å³ per cell
# - DFT total energy: -1.254 eV per atom
# - Calculated density: 4.69 g/cm3

No. 2
# Sc3TaBi (PBE, relaxed)
data_Sc3TaBi
_chemical_formula_sum 'Sc3 Ta1 Bi1'
_symmetry_space_group_name_H-M 'P m -3 m'
_symmetry_Int_Tables_number 221
_symmetry_space_group_name_Hall '-P 4 2 3'
_cell_length_a 5.148
_cell_length_b 5.148
_cell_length_c 5.148
_cell_angle_alpha 90.00
_cell_angle_beta 90.00
_cell_angle_gamma 90.00
loop_
_atom_site_label
_atom_site_fract_x
_atom_site_fract_y
_atom_site_fract_z
Sc1 0.000 0.000 0.500
Ta1 0.000 0.000 0.000
Bi1 0.500 0.500 0.500
# - Calculated volume: 136.44 Å³ per cell
# - DFT total energy: -6.438 eV per atom
# - Calculated density: 6.39 g/cm3

No. 3
# Hg2N2Cl5 (PBE, relaxed)
data_Hg2N2Cl5
_chemical_formula_sum 'Hg8 N8 Cl20'
_symmetry_space_group_name_H-M 'I m a 2'
_symmetry_Int_Tables_number 46
_cell_length_a 12.678
_cell_length_b 24.146
_cell_length_c 4.358
_cell_angle_alpha 90.00
_cell_angle_beta 90.00
_cell_angle_gamma 90.00
loop_
_symmetry_equiv_pos_as_xyz
'x,y,z'
'-x,-y,z'
'-x+1/2,y,z'
'x+1/2,-y,z'
'x+1/2,y+1/2,z+1/2'
'-x+1/2,-y+1/2,z+1/2'
'-x,y+1/2,z+1/2'
'x,-y+1/2,z+1/2'
loop_
_atom_site_label
_atom_site_fract_x
_atom_site_fract_y
_atom_site_fract_z
Hg1 0.000 0.000 0.000
Hg2 0.250 0.127 0.486
N1 0.144 0.552 0.498
Cl1 0.084 0.069 0.499
Cl2 0.123 0.618 0.499
Cl3 0.250 0.185 0.989
# - Calculated volume: 1333.94 Å³ per cell
# - DFT total energy: -2.585 eV per atom
# - Energy relative to the elements, uncorrected: 0.36 eV per atom
# - Calculated density: 3.02 g/cm3

No. 4
# NiHgIr3 (PBE, relaxed)
data_NiHgIr3
_chemical_formula_sum 'Ni1 Hg1 Ir3'
_symmetry_space_group_name_H-M 'P m -3 m'
_symmetry_Int_Tables_number 221
_symmetry_space_group_name_Hall '-P 4 2 3'
_cell_length_a 4.520
_cell_length_b 4.520
_cell_length_c 4.520
_cell_angle_alpha 90.00
_cell_angle_beta 90.00
_cell_angle_gamma 90.00
loop_
_atom_site_label
_atom_site_fract_x
_atom_site_fract_y
_atom_site_fract_z
Ni1 0.000 0.000 0.000
Hg1 0.500 0.500 0.500
Ir1 0.000 0.000 0.500
# - Calculated volume: 92.36 Å³ per cell
# - DFT total energy: -5.081 eV per atom
# - Calculated density: 15.03 g/cm3

No. 5
# TlReTeO6 (PBE, relaxed)
data_TlReTeO6
_chemical_formula_sum 'Tl1 Re1 Te1 O6'
_symmetry_space_group_name_H-M 'P 1'
_symmetry_Int_Tables_number 1
_cell_length_a 5.651
_cell_length_b 5.653
_cell_length_c 5.978
_cell_angle_alpha 90.06
_cell_angle_beta 90.01
_cell_angle_gamma 119.90
loop_
_symmetry_equiv_pos_as_xyz
'x,y,z'
loop_
_atom_site_label
_atom_site_fract_x
_atom_site_fract_y
_atom_site_fract_z
Tl1 0.000 0.000 0.000
Re1 0.333 0.667 0.486
Te1 0.666 0.333 0.408
O1 0.008 0.559 0.252
O2 0.093 0.366 0.625
O3 0.271 0.910 0.623
O4 0.440 0.449 0.252
O5 0.551 0.992 0.251
O6 0.637 0.730 0.623
# - Calculated volume: 165.54 Å³ per cell
# - DFT total energy: -6.546 eV per atom
# - Energy relative to the elements, uncorrected: -1.24 eV per atom
# - Calculated density: 6.16 g/cm3

No. 6
# ErMgSi2Pt2 (PBE, relaxed)
data_ErMgSi2Pt2
_chemical_formula_sum 'Er1 Mg1 Si2 Pt2'
_symmetry_space_group_name_H-M 'P -3 m 1'
_symmetry_Int_Tables_number 164
_symmetry_space_group_name_Hall '-P 3 2"'
_cell_length_a 4.2386
_cell_length_b 4.2386
_cell_length_c 6.7258
_cell_angle_alpha 90.00
_cell_angle_beta 90.00
_cell_angle_gamma 120.00
loop_
_atom_site_label
_atom_site_fract_x
_atom_site_fract_y
_atom_site_fract_z
Er1 0.0000 0.0000 0.0000
Mg1 0.0000 0.0000 0.5000
Si1 0.3333 0.6667 0.7131
Pt1 0.3333 0.6667 0.2907
# - Calculated volume: 104.64 Å³ per cell
# - DFT total energy: -5.796 eV per atom
# - Energy relative to the elements, uncorrected: -0.95 eV per atom
# - Calculated density: 10.12 g/cm3

> Number 2 is which compound?

Sc3TaBi